# 1
Below is a relaxed structure of Mg3SiPt, with properties calculated at the PBE level.

Cell lengths 4.9396, 4.9396, 4.9396 Å; angles 90.00, 90.00, 90.00 degrees
Fractional positions:
Mg 0.0000 0.0000 0.5000
Mg 0.5000 0.0000 0.0000
Pt 0.0000 0.0000 0.0000
Mg 0.0000 0.5000 0.0000
Si 0.5000 0.5000 0.5000

Calculated values
**Calculated total energy**: -3.186 eV/atom
**Formation energy (no corrections)**: 0.3 eV per formula unit

# 2
Below is a relaxed structure of TaTc2Ru, with properties calculated at the PBE level.

Cell lengths 5.2041, 5.2041, 5.2041 Å; angles 144.77, 129.89, 62.73 degrees
Fractional positions:
Ru 0.7500 0.2500 0.5000
Ta 0.2500 0.7500 0.5000
Tc 0.0131 0.0131 0.0000
Tc 0.4869 0.4869 0.0000

Calculated values
**Calculated total energy**: -10.484 eV/atom
**Energy relative to the elements**: -0.08 eV/f.u.
**Energy above the most stable polymorph in this dataset**: 35 meV per atom

# 3
Below is a relaxed structure of Ta2Nb4In, with properties calculated at the PBE level.

Cell lengths 3.5198, 3.3413, 11.6067 Å; angles 90.00, 98.72, 90.00 degrees
Fractional positions:
Nb 0.0750 0.5000 0.1501
Nb 0.9250 0.5000 0.8499
Nb 0.6411 0.0000 0.2822
Nb 0.3589 0.0000 0.7178
In 0.5000 0.0000 0.0000
Ta 0.7968 0.5000 0.5935
Ta 0.2032 0.5000 0.4065

Calculated values
**Calculated total energy**: -9.329 eV/atom
**Energy relative to the elements**: 1.42 eV/f.u.

Copy entry 2 word for word.
Below is a relaxed structure of TaTc2Ru, with properties calculated at the PBE level.

Cell lengths 5.2041, 5.2041, 5.2041 Å; angles 144.77, 129.89, 62.73 degrees
Fractional positions:
Ru 0.7500 0.2500 0.5000
Ta 0.2500 0.7500 0.5000
Tc 0.0131 0.0131 0.0000
Tc 0.4869 0.4869 0.0000

Calculated values
**Calculated total energy**: -10.484 eV/atom
**Energy relative to the elements**: -0.08 eV/f.u.
**Energy above the most stable polymorph in this dataset**: 35 meV per atom